The following is a DFT calculation (PBE) of an optimized crystal structure of Nd3HoTm3.

Cell lengths 6.1880, 6.1880, 43.1172 Å; angles 90.00, 90.00, 120.00 degrees
Space group R-3 (No. 148, hexagonal axes)
Unique sites:
Nd (0.0004, 0.3308, 0.1303) (multiplicity 18)
Ho (0.0000, 0.0000, 0.3333) (multiplicity 6)
Tm (0.0000, 0.3332, 0.2691) (multiplicity 18)

Properties
- Relative energy among the computed polymorphs: 3.57 kcal/mol of atoms
- Energy: -4.44 eV per atom
- Energy of formation: 176 meV/atom